1.
Compound: HgIrSe
Source: Alexandria
Functional: GGA-PBE
Structure: optimized geometry Values from VASP.

The structure in Quantum ESPRESSO input format:
```
&SYSTEM
  ibrav = 0, nat = 3, ntyp = 3
/
ATOMIC_SPECIES
Hg 200.59 Hg.upf
Ir 192.22 Ir.upf
Se 78.96 Se.upf
ATOMIC_POSITIONS angstrom
Hg 0.000 0.000 0.000
Ir 0.000 0.000 9.308
Se 0.000 0.000 3.614
CELL_PARAMETERS angstrom
-1.561 1.561 6.858
1.561 -1.561 6.858
1.561 1.561 -6.858
```

**Formation energy without anion corrections**: 293 meV per atom
**Magnetization**: 0.000 μB/atom
**N(E_F)**: 0.5796 states/eV per atom

***

2.
Compound: HgIrSe
Source: Alexandria
Functional: GGA-PBE
Structure: optimized geometry Values from VASP.

The structure in Quantum ESPRESSO input format:
```
&SYSTEM
  ibrav = 0, nat = 3, ntyp = 3
/
ATOMIC_SPECIES
Hg 200.59 Hg.upf
Ir 192.22 Ir.upf
Se 78.96 Se.upf
ATOMIC_POSITIONS angstrom
Hg 0.000 0.000 0.000
Ir 2.124 1.226 1.964
Se 0.000 2.452 1.964
CELL_PARAMETERS angstrom
4.247 0.000 0.000
-2.124 3.678 0.000
0.000 0.000 3.928
```

**Formation energy without anion corrections**: 493 meV per atom
**Magnetization**: 0.000 μB/atom
**N(E_F)**: 0.7967 states/eV per atom

***

3.
Compound: HgIr2Se
Source: Alexandria
Functional: GGA-PBE
Structure: optimized geometry Values from VASP.

The structure in Quantum ESPRESSO input format:
```
&SYSTEM
  ibrav = 0, nat = 4, ntyp = 3
/
ATOMIC_SPECIES
Hg 200.59 Hg.upf
Ir 192.22 Ir.upf
Se 78.96 Se.upf
ATOMIC_POSITIONS angstrom
Hg 0.000 0.000 0.000
Ir 1.226 0.000 3.980
Ir 5.885 0.000 1.735
Se 3.555 0.000 2.857
CELL_PARAMETERS angstrom
4.153 -1.497 0.000
4.153 1.497 0.000
-1.194 0.000 5.715
```

**Formation energy without anion corrections**: 499 meV per atom
**Magnetization**: 0.000 μB/atom
**N(E_F)**: 0.9886 states/eV per atom

***

4.
Compound: HgIrSe
Source: Alexandria
Functional: GGA-PBE
Structure: optimized geometry Values from VASP.

The structure in Quantum ESPRESSO input format:
```
&SYSTEM
  ibrav = 0, nat = 3, ntyp = 3
/
ATOMIC_SPECIES
Hg 200.59 Hg.upf
Ir 192.22 Ir.upf
Se 78.96 Se.upf
ATOMIC_POSITIONS angstrom
Hg 0.000 0.000 0.000
Ir 0.000 2.031 2.062
Se 1.759 1.015 3.356
CELL_PARAMETERS angstrom
3.517 0.000 0.000
-1.759 3.046 0.000
0.000 0.000 6.038
```

**Formation energy without anion corrections**: 147 meV per atom
**Magnetization**: 0.000 μB/atom
**N(E_F)**: 0.7730 states/eV per atom

***

5.
Compound: HgIr2Se
Source: Alexandria
Functional: GGA-PBE
Structure: optimized geometry Values from VASP.

The structure in Quantum ESPRESSO input format:
```
&SYSTEM
  ibrav = 0, nat = 4, ntyp = 3
/
ATOMIC_SPECIES
Hg 200.59 Hg.upf
Ir 192.22 Ir.upf
Se 78.96 Se.upf
ATOMIC_POSITIONS angstrom
Hg 0.000 0.000 0.000
Ir 0.000 0.000 4.899
Ir 1.404 0.000 2.643
Se 1.404 0.000 7.055
CELL_PARAMETERS angstrom
1.404 -2.497 0.000
1.404 2.497 0.000
0.000 0.000 10.788
```

**Formation energy without anion corrections**: 469 meV per atom
**Magnetization**: 0.000 μB/atom
**N(E_F)**: 0.8760 states/eV per atom

***

6.
Compound: HgIr2Se
Source: Alexandria
Functional: GGA-PBE
Structure: optimized geometry Values from VASP.

The structure in Quantum ESPRESSO input format:
```
&SYSTEM
  ibrav = 0, nat = 4, ntyp = 3
/
ATOMIC_SPECIES
Hg 200.59 Hg.upf
Ir 192.22 Ir.upf
Se 78.96 Se.upf
ATOMIC_POSITIONS angstrom
Hg 0.000 0.000 0.000
Ir 2.141 0.000 1.848
Ir 0.000 2.141 1.848
Se 0.000 0.000 3.696
CELL_PARAMETERS angstrom
-2.141 2.141 3.696
2.141 -2.141 3.696
2.141 2.141 -3.696
```

**Formation energy without anion corrections**: 720 meV per atom
**Magnetization**: 0.000 μB/atom
**N(E_F)**: 0.6137 states/eV per atom

***

7.
Compound: HgIr2Se
Source: Alexandria
Functional: GGA-PBE
Structure: optimized geometry Values from VASP.

The structure in Quantum ESPRESSO input format:
```
&SYSTEM
  ibrav = 0, nat = 4, ntyp = 3
/
ATOMIC_SPECIES
Hg 200.59 Hg.upf
Ir 192.22 Ir.upf
Se 78.96 Se.upf
ATOMIC_POSITIONS angstrom
Hg 0.000 0.000 0.000
Ir 0.000 0.000 3.894
Ir 1.469 1.469 2.112
Se 1.469 1.469 5.509
CELL_PARAMETERS angstrom
2.938 0.000 0.000
0.000 2.938 0.000
0.000 0.000 8.560
```

**Formation energy without anion corrections**: 365 meV per atom
**Magnetization**: 0.000 μB/atom
**N(E_F)**: 1.1014 states/eV per atom

***

8.
Compound: Hg3IrSe
Source: Alexandria
Functional: GGA-PBE
Structure: optimized geometry Values from VASP.

The structure in Quantum ESPRESSO input format:
```
&SYSTEM
  ibrav = 0, nat = 5, ntyp = 3
/
ATOMIC_SPECIES
Hg 200.59 Hg.upf
Ir 192.22 Ir.upf
Se 78.96 Se.upf
ATOMIC_POSITIONS angstrom
Hg 0.000 0.000 2.623
Hg 0.000 2.623 0.000
Hg 2.623 0.000 0.000
Ir 0.000 0.000 0.000
Se 2.623 2.623 2.623
CELL_PARAMETERS angstrom
5.247 0.000 0.000
0.000 5.247 0.000
0.000 0.000 5.247
```

**Formation energy without anion corrections**: 621 meV per atom
**Magnetization**: 0.253 μB/atom
**N(E_F)**: 1.4584 states/eV per atom

***

no.,polymorph energy (0 for the lowest one) (eV per atom)
1,0.146
2,0.346
3,0.172
4,0.000
5,0.142
6,0.392
7,0.037
8,0.000